# Pm10Ge3Pb3

A geometry-optimized Pm10Ge3Pb3 structure (PBE, the Alexandria database).

Lattice parameters (Å, degrees): 9.0567 9.0567 6.7607 90.00 90.00 120.00
With the nearest neighbours (Å) after each atom.
Atoms (fractional coordinates):
Pm 0.0000 0.2414 0.0000  3 Ge 3.09-3.34
Pm 0.0000 0.7597 0.5000  3 Pb 3.14-3.28
Pm 0.2403 0.2403 0.5000  3 Pb 3.14-3.28
Pm 0.2414 0.0000 0.0000  3 Ge 3.09-3.34
Pm 0.3333 0.6667 0.2375  2 Pm 3.21-3.55, 3 Ge 3.23, 3 Pb 3.29
Pm 0.3333 0.6667 0.7625  2 Pm 3.21-3.55, 3 Ge 3.23, 3 Pb 3.29
Pm 0.6667 0.3333 0.2375  2 Pm 3.21-3.55, 3 Ge 3.23, 3 Pb 3.29
Pm 0.6667 0.3333 0.7625  2 Pm 3.21-3.55, 3 Ge 3.23, 3 Pb 3.29
Pm 0.7586 0.7586 0.0000  3 Ge 3.09-3.34
Pm 0.7597 0.0000 0.5000  3 Pb 3.14-3.28
Ge 0.0000 0.6101 0.0000  7 Pm 3.09-3.34
Ge 0.3899 0.3899 0.0000  7 Pm 3.09-3.34
Ge 0.6101 0.0000 0.0000  7 Pm 3.09-3.34
Pb 0.0000 0.3976 0.5000  7 Pm 3.14-3.29
Pb 0.3976 0.0000 0.5000  7 Pm 3.14-3.29
Pb 0.6024 0.6024 0.5000  7 Pm 3.14-3.29

DFT formation energy = -0.610 eV/atom
Space group = No. 189